# HfCoPO

A relaxed HfCoPO crystal (PBE with a Hubbard U, the Open Quantum Materials Database).

POSCAR file:
```
HfCoPO
1.0
-1.0457 -1.2856 3.1150
-4.1160 -2.9360 -2.5934
3.8045 -4.7354 -0.6772
Co P Hf O
2 2 2 2
Cartesian
1.3287 -2.5692 -0.6143
0.0499 -7.2059 -2.9572
2.0869 -4.7539 -1.2614
-1.7287 -3.7511 -2.1284
-0.3681 -4.9499 -0.1682
-2.1836 -2.5203 0.2251
-0.3645 -6.8678 -0.9585
-0.2255 -3.0441 0.6663
```

Calculated values
The energy above the most stable polymorph in this dataset is 1.171 eV/f.u. For the electronic total energy, the calculation gives -30.40 eV per formula unit. For the calculated volume, the calculation gives 122.5 Å³/cell.